Entry 1:
Here is Cr3Ni4Rh4 after structural relaxation from the Alexandria database. Energies are from PBE-GGA.

Calculated values
DFT formation energy (eV per atom): -0.038
DFT total energy (eV per atom): -7.44

```
Cr3Ni4Rh4
1.0
2.618 -0.002 -0.223
-0.035 3.578 -0.448
-0.087 -0.003 14.501
Cr Ni Rh
3 4 4
direct
0.635 0.636 0.272
0.365 0.364 0.728
0.000 0.000 0.000
0.092 0.093 0.186
0.271 0.271 0.541
0.728 0.729 0.459
0.908 0.907 0.814
0.547 0.547 0.095
0.453 0.453 0.905
0.819 0.819 0.638
0.180 0.181 0.362
```

Entry 2:
Here is ZrHg2Cl after structural relaxation from the Alexandria database. Energies are from PBE-GGA.

Calculated values
DFT total energy (eV per atom): -3.09
Energy above the most stable polymorph in this dataset (eV per atom): 0.193

```
ZrHg2Cl
1.0
-3.673 0.735 -2.719
0.142 -3.133 -1.039
-3.580 -3.185 3.975
Cl Hg Zr
1 2 1
direct
0.500 0.580 0.715
0.000 0.947 0.990
0.500 0.302 0.267
0.000 0.672 0.528
```

Entry 3:
Here is TlInNiPb2 after structural relaxation from the Alexandria database. Energies are from PBE-GGA.

Calculated values
DFT formation energy (eV per atom): 0.694
DFT total energy (eV per atom): -2.97
Energy above the most stable polymorph in this dataset (eV per atom): 0.616

```
TlInNiPb2
1.0
-3.233 -4.047 1.786
2.213 0.040 4.097
-3.576 3.693 1.896
Pb Ni Tl In
2 1 1 1
direct
0.000 0.000 0.500
0.500 0.000 0.000
0.000 0.500 0.000
0.500 0.500 0.500
0.000 0.000 0.000
```

Entry 4:
Here is CdPRh3 after structural relaxation from the Alexandria database. Energies are from PBE-GGA.

Calculated values
DFT formation energy (eV per atom): 1.864
DFT total energy (eV per atom): -3.81
Energy above the most stable polymorph in this dataset (eV per atom): 2.086

```
CdPRh3
1.0
-2.051 3.119 -3.093
-1.280 -3.690 -2.871
-4.202 -0.398 2.385
P Rh Cd
1 3 1
direct
0.500 0.500 0.500
0.000 0.500 0.000
0.000 0.000 0.500
0.500 0.000 0.000
0.000 0.000 0.000
```

Entry 5:
Here is Pm8Tl6Cd after structural relaxation from the Alexandria database. Energies are from PBE-GGA.

Calculated values
DFT formation energy (eV per atom): -0.184
DFT total energy (eV per atom): -3.73

```
Pm8Tl6Cd
1.0
-5.657 7.033 3.049
-0.733 1.822 9.322
2.665 6.988 3.712
Pm Tl Cd
8 6 1
direct
0.633 0.170 0.305
0.830 0.107 0.695
0.107 0.367 0.695
0.685 0.685 0.945
0.315 0.315 0.055
0.893 0.633 0.305
0.170 0.893 0.305
0.367 0.830 0.695
0.442 0.080 0.801
0.920 0.323 0.199
0.323 0.558 0.199
0.677 0.442 0.801
0.080 0.677 0.801
0.558 0.920 0.199
0.000 0.000 0.000
```

Entry 6:
Here is SmHo5Tm3 after structural relaxation from the Alexandria database. Energies are from PBE-GGA.

Calculated values
DFT formation energy (eV per atom): 0.053
DFT total energy (eV per atom): -4.51
Energy above the most stable polymorph in this dataset (eV per atom): 0.000

```
SmHo5Tm3
1.0
9.615 0.000 0.000
-4.808 8.323 -0.488
0.000 0.405 6.934
Sm Ho Tm
2 10 6
direct
0.695 0.000 0.750
0.305 0.000 0.250
0.360 0.000 0.750
0.642 0.642 0.750
0.000 0.307 0.250
0.358 0.358 0.250
0.693 0.693 0.250
0.640 0.000 0.250
0.000 0.642 0.250
0.000 0.358 0.750
0.307 0.307 0.750
0.000 0.693 0.750
0.000 0.000 0.000
0.669 0.338 0.500
0.000 0.000 0.500
0.331 0.662 0.500
0.669 0.338 0.000
0.331 0.662 0.000
```